A plane-wave DFT calculation with PBE was carried out for crystalline HgP4Pb at its relaxed geometry.

Cell: 8.423 8.423 8.423 Å, 90.00 90.00 90.00°
Space group F-43m (No. 216)
One atom of each set of equivalent atoms:
Hg (0.000, 0.000, 0.000)
P (0.156, 0.156, 0.656)
Pb (0.250, 0.250, 0.250)

**DOS at the Fermi energy**: 17.31 states/eV per cell
**Total moment**: 0.0000 μB per atom
**E_form**: 354 meV/atom